An optimized crystal structure of AcAgW, computed with GGA-PBE.

Values from the calculation:
VASP energy = -4.93 eV/atom
Excess energy over the best structure of this formula in the dataset = 1.39 eV/f.u.
Energy of formation from the pure elements = 1.703 eV per atom

Cell: 7.1659 7.1659 7.1659 Å, 90.00 90.00 90.00°
With the nearest neighbours (Å) after each atom.
Space group F-43m (No. 216)
One atom of each set of equivalent atoms:
Ac1 0.0000 0.0000 0.0000 [4 per cell]  4 W 3.10, 4 Ag 3.10
Ag1 0.2500 0.2500 0.7500 [4 per cell]  4 Ac 3.10
W1 0.2500 0.2500 0.2500 [4 per cell]  4 Ac 3.10

=====

An optimized crystal structure of PmB6, computed with GGA-PBE.

Values from the calculation:
VASP energy = -6.87 eV/atom

Cell: 4.1173 4.1173 4.1173 Å, 90.00 90.00 90.00°
With the nearest neighbours (Å) after each atom.
Space group Pm-3m (No. 221)
One atom of each set of equivalent atoms:
Pm1 0.0000 0.0000 0.0000 [1 per cell]  24 B 3.02
B1 0.1992 0.5000 0.5000 [6 per cell]  5 B 1.64-1.75

=====

An optimized crystal structure of ZrFe2Sn, computed with GGA-PBE.

Values from the calculation:
VASP energy = -7.25 eV/atom

Cell: 6.4495 6.4495 6.4495 Å, 90.00 90.00 90.00°
With the nearest neighbours (Å) after each atom.
Space group F-43m (No. 216)
One atom of each set of equivalent atoms:
Zr1 0.0000 0.0000 0.0000 [4 per cell]  4 Sn 2.79, 4 Fe 2.79
Fe1 0.0000 0.0000 0.5000 [4 per cell]  4 Fe 2.79, 4 Sn 2.79
Fe2 0.2500 0.2500 0.2500 [4 per cell]  4 Zr 2.79, 4 Fe 2.79
Sn1 0.2500 0.2500 0.7500 [4 per cell]  4 Zr 2.79, 4 Fe 2.79

=====

An optimized crystal structure of Tb2PrIn3PtAu2, computed with GGA-PBE.

Values from the calculation:
VASP energy = -4.69 eV/atom

Cell: 4.0100 13.5110 7.7628 Å, 90.00 90.00 90.00°
With the nearest neighbours (Å) after each atom.
Space group Amm2 (No. 38)
One atom of each set of equivalent atoms:
Tb1 0.0000 0.2004 0.0000 [4 per cell]  4 Au 3.09, 1 Pt 3.10, 6 In 3.35-3.39
Pr1 0.0000 0.0000 0.6029 [2 per cell]  4 Au 3.15, 1 Pt 3.16, 6 In 3.34-3.42
In1 0.5000 0.0000 0.9476 [2 per cell]  2 Pt 2.78, 2 Au 2.99
In2 0.5000 0.1284 0.3252 [4 per cell]  2 Pt 2.84, 2 Au 2.89-2.98
Pt1 0.0000 0.0000 0.1957 [2 per cell]  6 In 2.78-2.84, 2 Tb 3.10
Au1 0.5000 0.1702 0.7017 [4 per cell]  3 In 2.89-2.99, 4 Tb 3.09, 2 Pr 3.15

=====

An optimized crystal structure of Hf4Ga3Mo2C3, computed with GGA-PBE.

Values from the calculation:
VASP energy = -8.80 eV/atom

Cell: 9.5609 5.5426 14.0192 Å, 90.00 103.16 90.00°
With the nearest neighbours (Å) after each atom.
Space group C2/c (No. 15)
One atom of each set of equivalent atoms:
Hf1 0.1150 0.0804 0.0953 [8 per cell]  3 C 2.25-2.26
Hf2 0.2171 0.0849 0.4047 [8 per cell]  3 C 2.25-2.27
Ga1 0.0000 0.1304 0.7500 [4 per cell]  2 Ga 2.77, 2 Mo 2.79, 4 Hf 2.89-2.90
Ga2 0.1451 0.4371 0.2490 [8 per cell]  2 Ga 2.77-2.78, 2 Mo 2.81-2.82, 4 Hf 2.89
Mo1 0.0591 0.4149 0.9190 [8 per cell]  3 C 2.12-2.16
C1 0.0832 0.2502 0.5000 [8 per cell]  2 Mo 2.16, 4 Hf 2.25-2.26
C2 0.2500 0.2500 0.0000 [4 per cell]  2 Mo 2.12, 4 Hf 2.26-2.27

=====

An optimized crystal structure of PrBPt, computed with GGA-PBE.

Values from the calculation:
VASP energy = -5.89 eV/atom
Excess energy over the best structure of this formula in the dataset = 0.00 eV/f.u.

Cell: 6.1204 6.1204 6.1204 Å, 90.00 90.00 90.00°
With the nearest neighbours (Å) after each atom.
Space group F-43m (No. 216)
One atom of each set of equivalent atoms:
Pr1 0.0000 0.0000 0.0000 [4 per cell]  4 B 2.65
B1 0.2500 0.2500 0.2500 [4 per cell]  4 Pr 2.65, 4 Pt 2.65
Pt1 0.0000 0.0000 0.5000 [4 per cell]  4 B 2.65

=====

An optimized crystal structure of PmMgPb2, computed with GGA-PBE.

Values from the calculation:
VASP energy = -3.81 eV/atom

Cell: 4.9308 4.9308 4.5145 Å, 90.00 90.00 90.00°
With the nearest neighbours (Å) after each atom.
Space group P4/mmm (No. 123)
One atom of each set of equivalent atoms:
Pm1 0.0000 0.0000 0.0000 [1 per cell]  8 Pb 3.34, 4 Mg 3.49
Mg1 0.5000 0.5000 0.0000 [1 per cell]  8 Pb 3.34, 4 Pm 3.49
Pb1 0.0000 0.5000 0.5000 [2 per cell]  4 Mg 3.34, 4 Pm 3.34, 4 Pb 3.49

=====

An optimized crystal structure of KLiHfS3, computed with GGA-PBE.

Values from the calculation:
VASP energy = -5.73 eV/atom
Excess energy over the best structure of this formula in the dataset = 0.01 eV/f.u.

Cell: 8.4502 3.8005 9.0515 Å, 90.00 109.00 90.00°
With the nearest neighbours (Å) after each atom.
Space group P2_1/m (No. 11)
One atom of each set of equivalent atoms:
K1 0.2218 0.2500 0.2608 [2 per cell]  7 S 3.20-3.40
Li1 0.0751 0.2500 0.6005 [2 per cell]  4 S 2.36-2.43
Hf1 0.3205 0.7500 0.8435 [2 per cell]  6 S 2.46-2.64
S1 0.1300 0.2500 0.8730 [2 per cell]  1 Li 2.36, 2 Hf 2.56
S2 0.2190 0.7500 0.5563 [2 per cell]  3 Li 2.36-2.43, 1 Hf 2.46
S3 0.4660 0.7500 0.1493 [2 per cell]  3 Hf 2.61-2.64

=====

An optimized crystal structure of Y4Hf2P3N3, computed with GGA-PBE.

Values from the calculation:
VASP energy = -8.67 eV/atom

Cell: 10.7256 6.2139 12.8451 Å, 90.00 106.13 90.00°
With the nearest neighbours (Å) after each atom.
Space group C2/c (No. 15)
One atom of each set of equivalent atoms:
Y1 0.1206 0.0815 0.1087 [8 per cell]  3 N 2.46-2.61
Y2 0.2121 0.0842 0.3913 [8 per cell]  3 N 2.47-2.60, 3 P 2.75-2.77
Hf1 0.0491 0.4170 0.8992 [8 per cell]  3 N 2.25-2.42
P1 0.0000 0.1056 0.7500 [4 per cell]  2 Hf 2.67, 4 Y 2.75-2.76
P2 0.1555 0.4270 0.2485 [8 per cell]  2 Hf 2.65-2.69, 4 Y 2.76-2.77
N1 0.0734 0.2789 0.5000 [8 per cell]  2 Hf 2.25-2.26, 2 Y 2.48-2.49
N2 0.2500 0.2500 0.0000 [4 per cell]  2 Hf 2.42, 4 Y 2.46-2.47

=====

An optimized crystal structure of KCuNiW, computed with GGA-PBE.

Values from the calculation:
VASP energy = -4.40 eV/atom
Excess energy over the best structure of this formula in the dataset = 0.00 eV/f.u.

Cell: 6.4957 6.4957 6.4957 Å, 90.00 90.00 90.00°
With the nearest neighbours (Å) after each atom.
Space group F-43m (No. 216)
One atom of each set of equivalent atoms:
K1 0.0000 0.0000 0.0000 [4 per cell]  4 Ni 2.81, 4 Cu 2.81
Cu1 0.2500 0.2500 0.7500 [4 per cell]  4 W 2.81, 4 K 2.81
Ni1 0.2500 0.2500 0.2500 [4 per cell]  4 W 2.81, 4 K 2.81
W1 0.0000 0.0000 0.5000 [4 per cell]  4 Cu 2.81, 4 Ni 2.81

=====

An optimized crystal structure of SrGdAuS3, computed with GGA-PBE.

Values from the calculation:
VASP energy = -5.21 eV/atom

Cell: 7.8445 4.0156 9.4783 Å, 90.00 105.28 90.00°
With the nearest neighbours (Å) after each atom.
Space group P2_1/m (No. 11)
One atom of each set of equivalent atoms:
Sr1 0.2370 0.2500 0.2756 [2 per cell]  6 S 3.01-3.12, 1 Au 3.31
Gd1 0.3117 0.7500 0.8379 [2 per cell]  6 S 2.77-2.83
Au1 0.1200 0.2500 0.5871 [2 per cell]  3 S 2.54-2.56
S1 0.0656 0.2500 0.8391 [2 per cell]  1 Au 2.54, 2 Gd 2.79
S2 0.2963 0.7500 0.5360 [2 per cell]  2 Au 2.56, 1 Gd 2.83
S3 0.4323 0.7500 0.1398 [2 per cell]  3 Gd 2.77-2.81, 2 Sr 3.01

=====

An optimized crystal structure of NdDyAg2O4, computed with GGA-PBE.

Values from the calculation:
VASP energy = -6.55 eV/atom

Cell: 3.5844 3.5844 12.5030 Å, 90.00 90.00 120.00°
With the nearest neighbours (Å) after each atom.
Space group P-3m1 (No. 164)
One atom of each set of equivalent atoms:
Nd1 0.0000 0.0000 0.0000 [1 per cell]  6 O 2.35
Dy1 0.0000 0.0000 0.5000 [1 per cell]  6 O 2.30
Ag1 0.3333 0.6667 0.2546 [2 per cell]  2 O 2.06
O1 0.3333 0.6667 0.0896 [2 per cell]  1 Ag 2.06
O2 0.3333 0.6667 0.4198 [2 per cell]  1 Ag 2.06, 3 Dy 2.30

=====

What did the sixth record say?
An optimized crystal structure of PrBPt, computed with GGA-PBE.

Values from the calculation:
VASP energy = -5.89 eV/atom
Excess energy over the best structure of this formula in the dataset = 0.00 eV/f.u.

Cell: 6.1204 6.1204 6.1204 Å, 90.00 90.00 90.00°
With the nearest neighbours (Å) after each atom.
Space group F-43m (No. 216)
One atom of each set of equivalent atoms:
Pr1 0.0000 0.0000 0.0000 [4 per cell]  4 B 2.65
B1 0.2500 0.2500 0.2500 [4 per cell]  4 Pr 2.65, 4 Pt 2.65
Pt1 0.0000 0.0000 0.5000 [4 per cell]  4 B 2.65

=====

- Look up the VASP energy of the second one.
  -6.87 eV/atom

=====

- Which formula does entry 3 have?
  ZrFe2Sn